Computed, not measured: a geometry-optimized Pu3Ag2Hg4 structure at the PBE level of DFT.

a b c (Å): 5.089 5.963 9.361
angles (deg): 122.23 90.00 115.26
Each line ends with the local moment (μB).
Fractional positions:
1 Pu 0.666 0.331 0.667  5.54
2 Pu 0.000 0.000 0.000  5.52
3 Pu 0.334 0.669 0.333  5.54
4 Ag 0.612 0.223 0.279  0.00
5 Ag 0.388 0.777 0.721  0.00
6 Hg 0.715 0.429 0.054  -0.01
7 Hg 0.285 0.571 0.946  -0.01
8 Hg 0.937 0.874 0.609  0.00
9 Hg 0.063 0.126 0.391  0.00

Computed properties:
calculated total energy: -5.70 eV per atom
formation enthalpy at 0 K: -0.153 eV/atom

---

Computed, not measured: a geometry-optimized CuSn4Rh structure at the PBE level of DFT.

a b c (Å): 6.536 6.387 7.907
angles (deg): 114.24 114.42 90.00
Fractional positions:
1 Cu 0.124 0.874 0.748
2 Cu 0.876 0.126 0.252
3 Sn 0.999 0.249 0.000
4 Sn 0.499 0.751 0.000
5 Sn 0.253 0.500 0.500
6 Sn 0.747 0.500 0.500
7 Sn 0.249 0.000 0.500
8 Sn 0.501 0.249 0.000
9 Sn 0.751 0.000 0.500
10 Sn 0.001 0.751 0.000
11 Rh 0.373 0.624 0.247
12 Rh 0.627 0.376 0.753

Computed properties:
calculated total energy: -4.78 eV per atom
formation enthalpy at 0 K: -0.201 eV/atom

---

Computed, not measured: a geometry-optimized Cd2Cu2Au3 structure at the PBE level of DFT.

a b c (Å): 4.110 2.935 10.262
angles (deg): 90.00 78.45 90.00
Fractional positions:
1 Cd 0.580 0.500 0.841
2 Cd 0.420 0.500 0.159
3 Cu 0.716 0.500 0.568
4 Cu 0.284 0.500 0.432
5 Au 0.835 0.000 0.331
6 Au 0.000 0.000 0.000
7 Au 0.165 0.000 0.669

Computed properties:
calculated total energy: -2.92 eV per atom
formation enthalpy at 0 K: -0.080 eV/atom

---

Computed, not measured: a geometry-optimized Ti3TcS structure at the PBE level of DFT.

a b c (Å): 4.417 4.417 4.417
angles (deg): 90.00 90.00 90.00
Each line ends with the local moment (μB).
Fractional positions:
1 S 0.000 0.000 0.000  0.01
2 Tc 0.500 0.500 0.500  0.97
3 Ti 0.000 0.500 0.000  -0.01
4 Ti 0.000 0.000 0.500  -0.04
5 Ti 0.500 0.000 0.000  -0.04

Computed properties:
calculated total energy: -7.77 eV per atom
energy relative to the elements, uncorrected: -0.136 eV/atom

---

Computed, not measured: a geometry-optimized Dy3Cl7O structure at the PBE level of DFT.

a b c (Å): 6.608 7.711 7.711
angles (deg): 120.00 90.00 90.00
Fractional positions:
1 Dy 0.765 0.488 0.512
2 Dy 0.765 0.488 0.976
3 Dy 0.765 0.024 0.512
4 Cl 0.002 0.167 0.833
5 Cl 0.002 0.167 0.334
6 Cl 0.994 0.667 0.333
7 Cl 0.552 0.827 0.173
8 Cl 0.552 0.345 0.173
9 Cl 0.552 0.827 0.655
10 Cl 0.002 0.666 0.833
11 O 0.663 0.333 0.667

Computed properties:
calculated total energy: -5.34 eV per atom
energy relative to the elements, uncorrected: -2.458 eV/atom

---

Computed, not measured: a geometry-optimized LaOs2W structure at the PBE level of DFT.

a b c (Å): 5.991 5.991 5.991
angles (deg): 152.02 131.75 56.70
Fractional positions:
1 La 0.755 0.255 0.500
2 Os 0.034 0.034 0.000
3 Os 0.244 0.744 0.500
4 W 0.467 0.467 0.000

Computed properties:
calculated total energy: -9.54 eV per atom
formation enthalpy at 0 K: 0.542 eV/atom

---

no.,Fermi-level density of states (states/eV/f.u.)
1,25.031
2,2.990
3,2.776
4,4.532
5,0.000
6,3.975